Record 1
A geometry-optimized SmMg4Pt2 structure. Source: Alexandria, functional PBE-GGA.

Lattice parameters (Å, degrees): 4.458 8.054 8.054 90.00 90.00 90.00
Positions (direct):
Mg (0.000, 0.912, 0.665)
Mg (0.500, 0.835, 0.412)
Pt (0.500, 0.270, 0.270)
Mg (0.500, 0.165, 0.588)
Mg (0.500, 0.412, 0.835)
Mg (0.500, 0.588, 0.165)
Pt (0.000, 0.230, 0.770)
Pt (0.000, 0.770, 0.230)
Sm (0.000, 0.500, 0.500)
Mg (0.000, 0.088, 0.335)
Mg (0.000, 0.335, 0.088)
Sm (0.500, 0.000, 0.000)
Mg (0.000, 0.665, 0.912)
Pt (0.500, 0.730, 0.730)

- magnetization (μB per cell) = 0.00
- ΔH_f (0 K) (eV per formula unit) = -4.9

Record 2
A geometry-optimized La2Pr3SmTe6 structure. Source: Alexandria, functional PBE-GGA.

Lattice parameters (Å, degrees): 4.523 9.101 10.124 102.80 102.91 90.00
Positions (direct):
Te (0.998, 0.244, 0.997)
Te (0.336, 0.920, 0.672)
La (0.166, 0.332, 0.332)
Te (0.664, 0.080, 0.328)
Te (0.002, 0.756, 0.003)
Sm (0.500, 0.000, 0.000)
Pr (0.500, 0.500, 0.000)
Pr (0.832, 0.166, 0.663)
Te (0.334, 0.416, 0.667)
Pr (0.168, 0.834, 0.337)
Te (0.666, 0.584, 0.333)
La (0.834, 0.668, 0.668)

- total energy (eV for the cell shown) = -65.6
- magnetization (μB per cell) = 0.00

Record 3
A geometry-optimized PrDy3YSc structure. Source: Alexandria, functional PBE-GGA.

Lattice parameters (Å, degrees): 3.645 9.326 12.609 118.33 90.00 90.00
Positions (direct):
Pr (0.750, 0.897, 0.352)
Dy (0.750, 0.893, 0.054)
Dy (0.750, 0.378, 0.553)
Dy (0.750, 0.417, 0.180)
Sc (0.750, 0.360, 0.901)
Dy (0.250, 0.107, 0.946)
Pr (0.250, 0.103, 0.648)
Y (0.250, 0.191, 0.286)
Y (0.750, 0.809, 0.714)
Dy (0.250, 0.583, 0.820)
Dy (0.250, 0.622, 0.447)
Sc (0.250, 0.640, 0.099)

- magnetization (μB per cell) = 0.00
- ΔH_f (0 K) (eV per formula unit) = 0.4

Record 4
A geometry-optimized SrHgAu3 structure. Source: Alexandria, functional PBE-GGA.

Lattice parameters (Å, degrees): 5.609 7.905 6.210 90.00 90.00 90.00
Positions (direct):
Sr (0.500, 0.000, 0.000)
Au (0.000, 0.662, 0.412)
Hg (0.000, 0.000, 0.500)
Sr (0.500, 0.500, 0.500)
Au (0.500, 0.500, 0.000)
Au (0.000, 0.162, 0.088)
Au (0.500, 0.000, 0.500)
Au (0.000, 0.838, 0.912)
Hg (0.000, 0.500, 0.000)
Au (0.000, 0.338, 0.588)

- magnetization (μB per cell) = 0.00
- ΔH_f (0 K) (eV per formula unit) = -1.0

Record 5
A geometry-optimized Sr2LaSc structure. Source: Alexandria, functional PBE-GGA.

Lattice parameters (Å, degrees): 6.269 3.686 6.872 82.97 90.00 90.00
Positions (direct):
La (0.500, 0.250, 0.250)
Sr (0.000, 0.976, 0.993)
Sr (0.000, 0.524, 0.507)
Sc (0.500, 0.750, 0.750)

- magnetization (μB per cell) = 0.00
- ΔH_f (0 K) (eV per formula unit) = 1.2

Record 6
A geometry-optimized TcMo2W structure. Source: Alexandria, functional PBE-GGA.

Lattice parameters (Å, degrees): 2.732 2.732 8.900 90.00 90.00 109.52
Positions (direct):
W (0.500, 0.500, 0.747)
Tc (0.000, 0.000, 0.500)
Mo (0.500, 0.500, 0.252)
Mo (0.000, 0.000, 0.000)

- magnetization (μB per cell) = 0.00
- ΔH_f (0 K) (eV per formula unit) = 0.2

Record 7
A geometry-optimized ZnFe2Pt structure. Source: Alexandria, functional PBE-GGA.

Lattice parameters (Å, degrees): 4.543 4.543 4.664 79.37 79.37 34.77
Site moments in Bohr magnetons follow the coordinates.
Positions (direct):
Zn (0.251, 0.251, 0.246)  -0.06
Fe (0.005, 0.005, 0.992)  2.69
Fe (0.748, 0.748, 0.764)  2.68
Pt (0.496, 0.496, 0.499)  0.25

- magnetization (μB per cell) = 5.53
- ΔH_f (0 K) (eV per formula unit) = -0.5

Record 8
A geometry-optimized GdNpOsRh structure. Source: Alexandria, functional PBE-GGA.

Lattice parameters (Å, degrees): 4.835 4.835 4.835 60.00 60.00 60.00
Site moments in Bohr magnetons follow the coordinates.
Positions (direct):
Gd (0.750, 0.750, 0.750)  6.93
Os (0.000, 0.000, 0.000)  0.31
Rh (0.500, 0.500, 0.500)  0.27
Np (0.250, 0.250, 0.250)  -3.39

- magnetization (μB per cell) = 4.03
- ΔH_f (0 K) (eV per formula unit) = -0.8